No. 1
! Sm8Ho6Sc (GGA-PBE, relaxed); values from VASP
&SYSTEM
  ibrav = 0, nat = 15, ntyp = 3
/
ATOMIC_SPECIES
Sm 150.36 Sm.upf
Ho 164.93 Ho.upf
Sc 44.96 Sc.upf
CELL_PARAMETERS angstrom
9.872 0.000 0.000
-4.936 8.550 0.000
0.000 0.000 5.810
ATOMIC_POSITIONS angstrom
Sm -0.837 2.332 1.537
Sm -2.498 8.109 1.537
Sm 1.601 1.891 4.273
Sm 0.000 5.700 1.544
Sm 4.936 2.850 4.266
Sm 3.335 6.659 1.537
Sm 7.435 0.441 4.273
Sm 5.773 6.218 4.273
Ho -1.421 4.035 4.385
Ho -0.732 7.763 4.385
Ho 2.784 3.248 1.425
Ho 2.153 5.302 4.385
Ho 5.668 0.787 1.425
Ho 6.357 4.515 1.425
Sc 0.000 0.000 0.000
! Energy of formation in meV per atom: 153
! Space-group type: No. 147
! Crystal system: trigonal
! Total energy in eV per atom: -4.62



No. 2
! SmHoSc (GGA-PBE, relaxed); values from VASP
&SYSTEM
  ibrav = 0, nat = 6, ntyp = 3
/
ATOMIC_SPECIES
Sm 150.36 Sm.upf
Ho 164.93 Ho.upf
Sc 44.96 Sc.upf
CELL_PARAMETERS angstrom
4.735 0.000 0.000
0.000 4.735 0.000
0.000 0.000 8.390
ATOMIC_POSITIONS angstrom
Sm 1.184 3.551 0.000
Sm 3.551 1.184 0.000
Ho 1.184 1.184 2.638
Ho 3.551 3.551 5.752
Sc 1.184 1.184 5.941
Sc 3.551 3.551 2.448
! Energy of formation in meV per atom: 272
! Space-group type: No. 129
! Crystal system: tetragonal
! Total energy in eV per atom: -4.94



No. 3
! Sm2HoSc (GGA-PBE, relaxed); values from VASP
&SYSTEM
  ibrav = 0, nat = 16, ntyp = 3
/
ATOMIC_SPECIES
Sm 150.36 Sm.upf
Ho 164.93 Ho.upf
Sc 44.96 Sc.upf
CELL_PARAMETERS angstrom
7.895 0.000 0.000
0.000 7.895 0.000
0.000 0.000 7.895
ATOMIC_POSITIONS angstrom
Sm 1.974 1.974 1.974
Sm 1.974 1.974 5.921
Sm 1.974 5.921 1.974
Sm 1.974 5.921 5.921
Sm 5.921 1.974 1.974
Sm 5.921 1.974 5.921
Sm 5.921 5.921 1.974
Sm 5.921 5.921 5.921
Ho 0.000 0.000 0.000
Ho 0.000 3.948 3.948
Ho 3.948 0.000 3.948
Ho 3.948 3.948 0.000
Sc 0.000 0.000 3.948
Sc 0.000 3.948 0.000
Sc 3.948 0.000 0.000
Sc 3.948 3.948 3.948
! Energy of formation in meV per atom: 109
! Space-group type: No. 225
! Crystal system: cubic
! Total energy in eV per atom: -4.98



No. 4
! Sm15Ho2Sc2 (GGA-PBE, relaxed); values from VASP
&SYSTEM
  ibrav = 0, nat = 19, ntyp = 3
/
ATOMIC_SPECIES
Sm 150.36 Sm.upf
Ho 164.93 Ho.upf
Sc 44.96 Sc.upf
CELL_PARAMETERS angstrom
5.561 3.211 5.960
-5.561 3.211 5.960
0.000 -6.422 5.960
ATOMIC_POSITIONS angstrom
Sm -5.561 0.000 8.940
Sm -1.626 -3.606 5.960
Sm -2.781 1.605 2.980
Sm -3.936 0.395 5.960
Sm -2.611 -1.508 8.330
Sm 1.626 -3.606 5.960
Sm -2.310 3.211 5.960
Sm 0.000 -3.015 9.551
Sm -2.611 1.508 9.551
Sm 2.781 1.605 2.980
Sm 2.611 -1.508 8.330
Sm 0.000 3.015 8.330
Sm 3.936 0.395 5.960
Sm 2.310 3.211 5.960
Sm 2.611 1.508 9.551
Ho 0.000 0.000 5.585
Ho 0.000 0.000 12.296
Sc 0.000 0.000 1.596
Sc 0.000 0.000 16.285
! Energy of formation in meV per atom: 283
! Space-group type: No. 166
! Crystal system: trigonal
! Total energy in eV per atom: -4.59



no.,total moment (Bohr magnetons per cell),D(E_F) (states/eV/atom)
1,0.0,1.647
2,0.0,1.460
3,0.0,1.610
4,0.0,1.741